# AlS2I2Br2 (GGA-PBE, optimized geometry)
# Size of the total moment (μB per cell): 2.09
# Energy (eV per cell): -40.88
data_AlS2I2Br2
_chemical_formula_sum 'Al2 S4 I4 Br4'
_cell_length_a 15.9203
_cell_length_b 4.0889
_cell_length_c 10.0223
_cell_angle_alpha 90.00
_cell_angle_beta 127.35
_cell_angle_gamma 90.00
_space_group_name_H-M_alt 'C 1 2/m 1'
_space_group_IT_number 12
_space_group_name_Hall '-C 2y'
loop_
_atom_site_label
_atom_site_fract_x
_atom_site_fract_y
_atom_site_fract_z
Al1 0.0000 0.0000 0.0000
S1 0.0214 0.5000 0.4307
I1 0.1336 0.5000 0.0304
Br1 0.1055 0.0000 0.3076

# SrPrInGa (GGA-PBE, optimized geometry)
# Size of the total moment (μB per cell): 0.00
# Energy (eV per cell): -55.17
data_SrPrInGa
_chemical_formula_sum 'Sr4 Pr4 In4 Ga4'
_cell_length_a 7.7967
_cell_length_b 7.7967
_cell_length_c 7.7967
_cell_angle_alpha 90.00
_cell_angle_beta 90.00
_cell_angle_gamma 90.00
_space_group_name_H-M_alt 'F -4 3 m'
_space_group_IT_number 216
_space_group_name_Hall 'F -4 2 3'
loop_
_atom_site_label
_atom_site_fract_x
_atom_site_fract_y
_atom_site_fract_z
Sr1 0.0000 0.0000 0.0000
Pr1 0.0000 0.0000 0.5000
In1 0.2500 0.2500 0.2500
Ga1 0.2500 0.2500 0.7500

# Ac2Al9Pt3 (GGA-PBE, optimized geometry)
# Size of the total moment (μB per cell): 0.00
# Energy (eV per cell): -281.55
data_Ac2Al9Pt3
_chemical_formula_sum 'Ac8 Al36 Pt12'
_cell_length_a 13.5998
_cell_length_b 7.8240
_cell_length_c 10.8626
_cell_angle_alpha 90.00
_cell_angle_beta 114.49
_cell_angle_gamma 90.00
_space_group_name_H-M_alt 'C 1 2/c 1'
_space_group_IT_number 15
_space_group_name_Hall '-C 2yc'
loop_
_atom_site_label
_atom_site_fract_x
_atom_site_fract_y
_atom_site_fract_z
Ac1 0.1685 0.0840 0.2503
Al1 0.0000 0.3815 0.2500
Al2 0.0605 0.0902 0.9304
Al3 0.0974 0.4174 0.0478
Al4 0.0996 0.3197 0.7485
Al5 0.2224 0.4208 0.4313
Pt1 0.0842 0.2462 0.5010
Pt2 0.2500 0.2500 0.0000

# InNiGe (GGA-PBE, optimized geometry)
# Size of the total moment (μB per cell): 0.00
# Energy (eV per cell): -213.17
data_InNiGe
_chemical_formula_sum 'In16 Ni16 Ge16'
_cell_length_a 4.9530
_cell_length_b 9.4075
_cell_length_c 17.6142
_cell_angle_alpha 90.00
_cell_angle_beta 90.00
_cell_angle_gamma 90.00
_space_group_name_H-M_alt 'F d d d'
_space_group_IT_number 70
loop_
_space_group_symop_operation_xyz
'x,y,z'
'-x,-y,-z'
'-x+1/4,-y+1/4,z'
'x+1/4,y+1/4,-z'
'x,-y+1/4,-z+1/4'
'-x,y+1/4,z+1/4'
'-x+1/4,y,-z+1/4'
'x+1/4,-y,z+1/4'
'x,y+1/2,z+1/2'
'-x,-y+1/2,-z+1/2'
'-x+1/4,-y+3/4,z+1/2'
'x+1/4,y+3/4,-z+1/2'
'x,-y+3/4,-z+3/4'
'-x,y+3/4,z+3/4'
'-x+1/4,y+1/2,-z+3/4'
'x+1/4,-y+1/2,z+3/4'
'x+1/2,y,z+1/2'
'-x+1/2,-y,-z+1/2'
'-x+3/4,-y+1/4,z+1/2'
'x+3/4,y+1/4,-z+1/2'
'x+1/2,-y+1/4,-z+3/4'
'-x+1/2,y+1/4,z+3/4'
'-x+3/4,y,-z+3/4'
'x+3/4,-y,z+3/4'
'x+1/2,y+1/2,z'
'-x+1/2,-y+1/2,-z'
'-x+3/4,-y+3/4,z'
'x+3/4,y+3/4,-z'
'x+1/2,-y+3/4,-z+1/4'
'-x+1/2,y+3/4,z+1/4'
'-x+3/4,y+1/2,-z+1/4'
'x+3/4,-y+1/2,z+1/4'
loop_
_atom_site_label
_atom_site_fract_x
_atom_site_fract_y
_atom_site_fract_z
In1 0.1250 0.2870 0.1250
Ni1 0.1250 0.1250 0.9999
Ge1 0.1250 0.1250 0.5414

# Na2Ti3Br9 (GGA-PBE, optimized geometry)
# Size of the total moment (μB per cell): 8.00
# Energy (eV per cell): -232.93
data_Na2Ti3Br9
_chemical_formula_sum 'Na8 Ti12 Br36'
_cell_length_a 10.1592
_cell_length_b 17.1409
_cell_length_c 9.9808
_cell_angle_alpha 90.00
_cell_angle_beta 112.63
_cell_angle_gamma 90.00
_space_group_name_H-M_alt 'C 1 2/m 1'
_space_group_IT_number 12
_space_group_name_Hall '-C 2y'
loop_
_atom_site_label
_atom_site_fract_x
_atom_site_fract_y
_atom_site_fract_z
Na1 0.1162 0.1647 0.3573
Ti1 0.1382 0.4108 0.1420
Ti2 0.1537 0.5000 0.8668
Br1 0.0000 0.2938 0.0000
Br2 0.0005 0.3975 0.3081
Br3 0.1837 0.1066 0.9805
Br4 0.1846 0.0000 0.6727
Br5 0.1856 0.0000 0.2902
Br6 0.1907 0.2048 0.6682

# LiTl2Si (GGA-PBE, optimized geometry)
# Size of the total moment (μB per cell): 0.00
# Offset from the most stable computed form (kJ/mol of formula units): 21
data_LiTl2Si
_chemical_formula_sum 'Li2 Tl4 Si2'
_cell_length_a 6.6277
_cell_length_b 8.1918
_cell_length_c 3.3423
_cell_angle_alpha 90.00
_cell_angle_beta 93.23
_cell_angle_gamma 90.00
_space_group_name_H-M_alt 'C 1 2/m 1'
_space_group_IT_number 12
_space_group_name_Hall '-C 2y'
loop_
_atom_site_label
_atom_site_fract_x
_atom_site_fract_y
_atom_site_fract_z
Li1 0.0000 0.0000 0.0000
Tl1 0.2500 0.2500 0.5000
Si1 0.0000 0.5000 0.0000

# ZnBiRh3 (GGA-PBE, optimized geometry)
# Size of the total moment (μB per cell): 0.00
# Offset from the most stable computed form (kJ/mol of formula units): 273
data_ZnBiRh3
_chemical_formula_sum 'Zn1 Bi1 Rh3'
_cell_length_a 4.9485
_cell_length_b 4.9485
_cell_length_c 4.9485
_cell_angle_alpha 90.00
_cell_angle_beta 90.00
_cell_angle_gamma 90.00
_space_group_name_H-M_alt 'P m -3 m'
_space_group_IT_number 221
_space_group_name_Hall '-P 4 2 3'
loop_
_atom_site_label
_atom_site_fract_x
_atom_site_fract_y
_atom_site_fract_z
Zn1 0.0000 0.0000 0.0000
Bi1 0.5000 0.5000 0.5000
Rh1 0.0000 0.5000 0.5000

# CdCoTc2 (GGA-PBE, optimized geometry)
# Size of the total moment (μB per cell): 4.97
# Energy (eV per cell): -83.49
data_CdCoTc2
_chemical_formula_sum 'Cd3 Co3 Tc6'
_cell_length_a 2.7782
_cell_length_b 2.7782
_cell_length_c 27.1135
_cell_angle_alpha 90.00
_cell_angle_beta 90.00
_cell_angle_gamma 120.00
_space_group_name_H-M_alt 'R 3 m'
_space_group_IT_number 160
_space_group_name_Hall 'R 3 -2"'
loop_
_atom_site_label
_atom_site_fract_x
_atom_site_fract_y
_atom_site_fract_z
Cd1 0.0000 0.0000 0.0000
Co1 0.0000 0.0000 0.7523
Tc1 0.0000 0.0000 0.2392
Tc2 0.0000 0.0000 0.4957

# TeIBr3 (GGA-PBE, optimized geometry)
# Size of the total moment (μB per cell): 0.00
# Offset from the most stable computed form (kJ/mol of formula units): 32
data_TeIBr3
_chemical_formula_sum 'Te2 I2 Br6'
_cell_length_a 6.2237
_cell_length_b 9.0098
_cell_length_c 7.3703
_cell_angle_alpha 90.00
_cell_angle_beta 90.99
_cell_angle_gamma 90.00
_space_group_name_H-M_alt 'P 1 21/m 1'
_space_group_IT_number 11
_space_group_name_Hall '-P 2yb'
loop_
_atom_site_label
_atom_site_fract_x
_atom_site_fract_y
_atom_site_fract_z
Te1 0.0669 0.2500 0.4613
I1 0.4158 0.2500 0.7761
Br1 0.2083 0.7500 0.8057
Br2 0.2720 0.0260 0.3342

# LiTeS3 (GGA-PBE, optimized geometry)
# Size of the total moment (μB per cell): 0.00
# Offset from the most stable computed form (kJ/mol of formula units): 1
data_LiTeS3
_chemical_formula_sum 'Li2 Te2 S6'
_cell_length_a 6.9703
_cell_length_b 3.7256
_cell_length_c 9.3188
_cell_angle_alpha 90.00
_cell_angle_beta 103.33
_cell_angle_gamma 90.00
_space_group_name_H-M_alt 'P 1 21/m 1'
_space_group_IT_number 11
_space_group_name_Hall '-P 2yb'
loop_
_atom_site_label
_atom_site_fract_x
_atom_site_fract_y
_atom_site_fract_z
Li1 0.0633 0.2500 0.3083
Te1 0.4251 0.2500 0.8036
S1 0.1176 0.2500 0.6094
S2 0.2535 0.7500 0.9370
S3 0.4218 0.2500 0.3276

# CaCeN2 (GGA-PBE, optimized geometry)
# Size of the total moment (μB per cell): 0.00
# Energy (eV per cell): -29.50
data_CaCeN2
_chemical_formula_sum 'Ca1 Ce1 N2'
_cell_length_a 3.6018
_cell_length_b 3.6018
_cell_length_c 4.8001
_cell_angle_alpha 90.00
_cell_angle_beta 90.00
_cell_angle_gamma 90.00
_space_group_name_H-M_alt 'P 4/m m m'
_space_group_IT_number 123
_space_group_name_Hall '-P 4 2'
loop_
_atom_site_label
_atom_site_fract_x
_atom_site_fract_y
_atom_site_fract_z
Ca1 0.0000 0.0000 0.0000
Ce1 0.5000 0.5000 0.5000
N1 0.0000 0.0000 0.5000
N2 0.5000 0.5000 0.0000

# Zn2HgPb (GGA-PBE, optimized geometry)
# Size of the total moment (μB per cell): 0.00
# Offset from the most stable computed form (kJ/mol of formula units): 23
data_Zn2HgPb
_chemical_formula_sum 'Zn4 Hg2 Pb2'
_cell_length_a 4.2270
_cell_length_b 5.3837
_cell_length_c 8.0413
_cell_angle_alpha 90.00
_cell_angle_beta 90.00
_cell_angle_gamma 90.00
_space_group_name_H-M_alt 'I m m m'
_space_group_IT_number 71
_space_group_name_Hall '-I 2 2'
loop_
_atom_site_label
_atom_site_fract_x
_atom_site_fract_y
_atom_site_fract_z
Zn1 0.0000 0.0000 0.2346
Hg1 0.0000 0.5000 0.5000
Pb1 0.0000 0.5000 0.0000